Record 1
Compound: NaAgSe2Br
Source: Alexandria
Functional: PBE
Structure: optimized geometry

Geometry as POSCAR:
```
NaAgSe2Br
1.0
-2.397 3.956 -1.770
-1.873 -3.538 -5.370
-4.106 -1.427 2.372
Ag Se Na Br
1 2 1 1
direct
0.000 0.500 0.000
0.500 0.000 0.000
0.000 0.000 0.500
0.000 0.000 0.000
0.500 0.500 0.500
```

Calculated values
- DFT total energy (eV/atom) = -1.988
- polymorph energy (0 for the lowest one) (meV per atom) = 661
- raw formation energy (eV/f.u.) = 2.87
- volume (A^3/atom) = 32.9


Record 2
Compound: NaAgSeBr2
Source: Alexandria
Functional: PBE
Structure: optimized geometry

Geometry as POSCAR:
```
NaAgSeBr2
1.0
-3.206 -0.936 -4.338
-3.049 -3.425 2.992
-3.158 4.080 1.453
Se Br Na Ag
1 2 1 1
direct
0.000 0.000 0.500
0.500 0.000 0.000
0.000 0.500 0.000
0.000 0.000 0.000
0.500 0.500 0.500
```

Calculated values
- DFT total energy (eV/atom) = -2.094
- polymorph energy (0 for the lowest one) (meV per atom) = 435
- raw formation energy (eV/f.u.) = 0.53
- volume (A^3/atom) = 32.1


Record 3
Compound: NaSi2AgBr
Source: Alexandria
Functional: PBE
Structure: optimized geometry

Geometry as POSCAR:
```
NaSi2AgBr
1.0
-3.850 2.422 2.483
-0.714 -4.139 2.930
3.392 1.856 3.449
Si Na Ag Br
2 1 1 1
direct
0.000 0.000 0.500
0.500 0.000 0.000
0.000 0.000 0.000
0.000 0.500 0.000
0.500 0.500 0.500
```

Calculated values
- DFT total energy (eV/atom) = -2.141
- raw formation energy (eV/f.u.) = 5.99
- volume (A^3/atom) = 27.5


Record 4
Compound: NaSmAg2Br6
Source: Alexandria
Functional: PBE
Structure: optimized geometry

Geometry as POSCAR:
```
NaSmAg2Br6
1.0
7.389 -0.010 -0.051
-3.703 6.296 -0.025
-3.735 -2.144 7.004
Br Na Ag Sm
6 1 2 1
direct
0.501 0.087 0.226
0.833 0.600 0.696
0.480 0.883 0.715
0.155 0.412 0.237
0.833 0.734 0.220
0.110 0.233 0.700
0.004 0.003 0.988
0.625 0.808 0.405
0.446 0.226 0.663
0.979 0.492 0.452
```

Calculated values
- DFT total energy (eV/atom) = -3.352
- raw formation energy (eV/f.u.) = -11.75
- volume (A^3/atom) = 32.4


Record 5
Compound: NaAgSnBr4
Source: Alexandria
Functional: PBE
Structure: optimized geometry

Geometry as POSCAR:
```
NaAgSnBr4
1.0
8.710 0.000 0.000
4.355 7.478 0.143
4.355 2.414 7.079
Na Ag Br Sn
2 2 8 2
direct
0.000 0.500 0.500
0.000 0.000 0.000
0.391 0.359 0.859
0.609 0.641 0.141
0.248 0.248 0.255
0.752 0.245 0.252
0.758 0.756 0.256
0.230 0.756 0.256
0.242 0.244 0.744
0.752 0.752 0.745
0.770 0.244 0.744
0.248 0.755 0.748
0.500 0.000 0.500
0.000 0.000 0.500
```

Calculated values
- DFT total energy (eV/atom) = -2.992
- raw formation energy (eV/f.u.) = -6.08
- volume (A^3/atom) = 32.7


Record 6
Compound: Na2AgSnBr6
Source: Alexandria
Functional: PBE
Structure: optimized geometry

Geometry as POSCAR:
```
Na2AgSnBr6
1.0
7.357 0.001 -0.001
3.680 6.373 -0.001
3.677 2.125 6.599
Br Na Sn Ag
6 2 1 1
direct
0.203 0.944 0.260
0.594 0.203 0.260
0.697 0.087 0.763
0.944 0.594 0.260
0.087 0.453 0.763
0.453 0.697 0.763
0.517 0.517 0.449
0.021 0.021 0.937
0.825 0.825 0.525
0.322 0.322 0.035
```

Calculated values
- DFT total energy (eV/atom) = -2.892
- raw formation energy (eV/f.u.) = -9.39
- volume (A^3/atom) = 30.9


Question: What is the volume in the third record?
Answer: 27.5 A^3/atom


Question: Which of these has the highest volume?
Answer: NaAgSe2Br